Record 1
DFT (PBE) results for LiYSn2Pd4 after structural relaxation.

Values from the calculation:
- N(E_F) (states/eV/atom) = 0.591
- formation energy from the elements (meV per atom) = -735

Cell: 4.6076 4.6076 23.6018 Å, 90.00 90.00 120.00°
Closest atoms and distances in Å follow each position.
Space group R-3m (No. 166, hexagonal axes)
Inequivalent atoms, fractional coordinates:
Li (0.0000, 0.0000, 0.0000) [3 per cell]  8 Pd 2.59-2.82
Y (0.0000, 0.0000, 0.5000) [3 per cell]  8 Pd 2.98-3.00
Sn (0.0000, 0.0000, 0.2554) [6 per cell]  7 Pd 2.76-2.81
Pd (0.0000, 0.0000, 0.1096) [6 per cell]  1 Li 2.59, 3 Sn 2.76
Pd (0.0000, 0.0000, 0.3729) [6 per cell]  4 Sn 2.78-2.81, 3 Li 2.82, 1 Y 3.00

Record 2
DFT (PBE) results for CdMo2As2 after structural relaxation.

Values from the calculation:
- N(E_F) (states/eV/atom) = 1.102
- formation energy from the elements (meV per atom) = 73

Cell: 7.3426 7.3426 3.1846 Å, 90.00 90.00 90.00°
Closest atoms and distances in Å follow each position.
Space group P4/mbm (No. 127)
Inequivalent atoms, fractional coordinates:
Cd (0.0000, 0.0000, 0.0000) [2 per cell]  4 Mo 2.83
Mo (0.1418, 0.3582, 0.0000) [4 per cell]  6 As 2.66-2.70, 2 Cd 2.83, 1 Mo 2.94
As (0.1482, 0.6482, 0.5000) [4 per cell]  6 Mo 2.66-2.70

Record 3
DFT (PBE) results for HfCuPd after structural relaxation.

Values from the calculation:
- N(E_F) (states/eV/atom) = 0.853
- formation energy from the elements (meV per atom) = -389

Cell: 4.4029 4.4029 2.9206 Å, 90.00 90.00 120.00°
Closest atoms and distances in Å follow each position.
Space group P-6m2 (No. 187)
Inequivalent atoms, fractional coordinates:
Hf (0.0000, 0.0000, 0.0000) [1 per cell]  2 Hf 2.92, 6 Cu 2.93, 6 Pd 2.93
Cu (0.6667, 0.3333, 0.5000) [1 per cell]  3 Pd 2.54
Pd (0.3333, 0.6667, 0.5000) [1 per cell]  3 Cu 2.54

Record 4
DFT (PBE) results for Zn5Co6Ge after structural relaxation.

Values from the calculation:
- N(E_F) (states/eV/atom) = 1.366
- formation energy from the elements (meV per atom) = -49

Cell: 4.0587 12.1967 5.7479 Å, 90.00 90.00 90.00°
Closest atoms and distances in Å follow each position.
Space group Cmmm (No. 65)
Inequivalent atoms, fractional coordinates:
Zn (0.0000, 0.0000, 0.0000) [2 per cell]  8 Co 2.45-2.52
Zn (0.0000, 0.3270, 0.5000) [4 per cell]  8 Co 2.47-2.52
Zn (0.0000, 0.3327, 0.0000) [4 per cell]  8 Co 2.50-2.54
Co (0.0000, 0.1619, 0.2527) [8 per cell]  1 Ge 2.43, 7 Zn 2.45-2.54
Co (0.0000, 0.5000, 0.2612) [4 per cell]  2 Ge 2.45, 6 Zn 2.52-2.53
Ge (0.0000, 0.0000, 0.5000) [2 per cell]  8 Co 2.43-2.45

Record 5
DFT (PBE) results for RbNiPb2S after structural relaxation.

Values from the calculation:
- N(E_F) (states/eV/atom) = 0.615
- ΔE_f (raw) (meV/atom) = 100

Cell: 4.9901 4.9901 4.8477 Å, 90.00 90.00 90.00°
Closest atoms and distances in Å follow each position.
Space group P4/mmm (No. 123)
Inequivalent atoms, fractional coordinates:
Rb (0.0000, 0.0000, 0.0000) [1 per cell]  8 Pb 3.48, 4 S 3.53
Ni (0.5000, 0.5000, 0.5000) [1 per cell]  2 S 2.42, 4 Pb 2.50
Pb (0.0000, 0.5000, 0.5000) [2 per cell]  2 Ni 2.50
S (0.5000, 0.5000, 0.0000) [1 per cell]  2 Ni 2.42

Record 6
DFT (PBE) results for AlAs2Br after structural relaxation.

Values from the calculation:
- N(E_F) (states/eV/atom) = 0.649
- ΔE_f (raw) (meV/atom) = 350

Cell: 6.8800 6.8800 6.8800 Å, 90.00 90.00 90.00°
Closest atoms and distances in Å follow each position.
Space group F-43m (No. 216)
Inequivalent atoms, fractional coordinates:
Al (0.0000, 0.0000, 0.0000) [4 per cell]  4 Br 2.98, 4 As 2.98
As (0.0000, 0.0000, 0.5000) [4 per cell]  4 As 2.98, 4 Br 2.98
As (0.2500, 0.2500, 0.2500) [4 per cell]  4 As 2.98, 4 Al 2.98
Br (0.2500, 0.2500, 0.7500) [4 per cell]  4 As 2.98, 4 Al 2.98

Record 7
DFT (PBE) results for K2Ga2Pt after structural relaxation.

Values from the calculation:
- N(E_F) (states/eV/atom) = 0.772
- formation energy from the elements (meV per atom) = -199

Cell: 6.7055 6.7055 5.8098 Å, 90.00 90.00 90.00°
Closest atoms and distances in Å follow each position.
Space group P4/mbm (No. 127)
Inequivalent atoms, fractional coordinates:
K (0.1834, 0.3166, 0.0000) [4 per cell]  6 Ga 3.31-3.67, 5 K 3.47-3.48
Ga (0.1503, 0.6503, 0.5000) [4 per cell]  2 Pt 2.55, 1 Ga 2.85
Pt (0.0000, 0.0000, 0.5000) [2 per cell]  4 Ga 2.55

Record 8
DFT (PBE) results for Th3TlSn after structural relaxation.

Values from the calculation:
- N(E_F) (states/eV/atom) = 1.316
- formation energy from the elements (meV per atom) = 279

Cell: 8.2287 17.1292 4.9097 Å, 90.00 90.00 90.00°
Closest atoms and distances in Å follow each position.
Space group Cmmm (No. 65)
Inequivalent atoms, fractional coordinates:
Th (0.0000, 0.1942, 0.0000) [4 per cell]  2 Tl 3.05, 1 Sn 3.19, 4 Th 3.34
Th (0.1732, 0.5000, 0.5000) [4 per cell]  1 Th 2.85, 2 Tl 3.09
Th (0.2500, 0.2500, 0.5000) [4 per cell]  4 Th 3.34, 2 Tl 3.45
Tl (0.0000, 0.0886, 0.5000) [4 per cell]  1 Tl 3.04, 4 Th 3.05-3.09
Sn (0.0000, 0.3807, 0.0000) [4 per cell]  5 Th 3.19-3.50